No. 1
## S7N (PBE)

Data for S7N after structural relaxation.

The formation energy (no corrections) comes out at 0.230 eV/atom.

a = 8.810 Å, b = 13.728 Å, c = 8.592 Å
α = 90.00°, β = 90.00°, γ = 90.00°
Atoms (fractional coordinates):
S (0.058, 0.129, 0.157)
S (0.058, 0.371, 0.157)
S (0.133, 0.250, 0.274)
S (0.140, 0.140, 0.772)
S (0.140, 0.360, 0.772)
S (0.221, 0.097, 0.990)
S (0.221, 0.403, 0.990)
S (0.279, 0.597, 0.490)
S (0.279, 0.903, 0.490)
S (0.360, 0.640, 0.272)
S (0.360, 0.860, 0.272)
S (0.367, 0.750, 0.774)
S (0.442, 0.629, 0.657)
S (0.442, 0.871, 0.657)
S (0.558, 0.129, 0.343)
S (0.558, 0.371, 0.343)
S (0.633, 0.250, 0.226)
S (0.640, 0.140, 0.728)
S (0.640, 0.360, 0.728)
S (0.721, 0.097, 0.510)
S (0.721, 0.403, 0.510)
S (0.779, 0.597, 0.010)
S (0.779, 0.903, 0.010)
S (0.860, 0.640, 0.228)
S (0.860, 0.860, 0.228)
S (0.867, 0.750, 0.726)
S (0.942, 0.629, 0.843)
S (0.942, 0.871, 0.843)
N (0.172, 0.250, 0.718)
N (0.328, 0.750, 0.218)
N (0.672, 0.250, 0.782)
N (0.828, 0.750, 0.282)


No. 2
## SbS2N (PBE)

Data for SbS2N after structural relaxation.

The formation energy (no corrections) comes out at 0.384 eV/atom. The relative energy among the computed polymorphs is 0.1766 eV/atom.

a = 3.597 Å, b = 5.066 Å, c = 5.609 Å
α = 80.12°, β = 76.00°, γ = 84.35°
Atoms (fractional coordinates):
Sb (0.000, 0.000, 0.000)
S (0.403, 0.934, 0.319)
S (0.555, 0.563, 0.751)
N (0.149, 0.585, 0.933)


No. 3
## Sb4S4N3 (PBE)

Data for Sb4S4N3 after structural relaxation.

The formation energy (no corrections) comes out at 0.280 eV/atom.

a = 4.589 Å, b = 5.163 Å, c = 11.339 Å
α = 98.83°, β = 98.01°, γ = 102.96°
Atoms (fractional coordinates):
Sb (0.000, 0.000, 0.000)
Sb (0.079, 0.395, 0.512)
Sb (0.294, 0.848, 0.276)
Sb (0.431, 0.359, 0.760)
S (0.517, 0.630, 0.005)
S (0.597, 0.062, 0.550)
S (0.788, 0.218, 0.269)
S (0.928, 0.671, 0.774)
N (0.011, 0.066, 0.198)
N (0.285, 0.774, 0.069)
N (0.309, 0.106, 0.452)


No. 4
## SbS2N (PBE)

Data for SbS2N after structural relaxation.

The formation energy (no corrections) comes out at 0.565 eV/atom. The relative energy among the computed polymorphs is 0.3575 eV/atom.

a = 7.628 Å, b = 7.628 Å, c = 7.628 Å
α = 27.45°, β = 27.45°, γ = 27.45°
Atoms (fractional coordinates):
Sb (0.000, 0.000, 0.000)
S (0.429, 0.429, 0.429)
S (0.571, 0.571, 0.571)
N (0.500, 0.500, 0.500)


No. 5
## SbSN2 (PBE)

Data for SbSN2 after structural relaxation.

The formation energy (no corrections) comes out at 1.369 eV/atom. The relative energy among the computed polymorphs is 1.2950 eV/atom.

a = 5.637 Å, b = 5.637 Å, c = 5.637 Å
α = 120.52°, β = 120.52°, γ = 89.11°
Atoms (fractional coordinates):
Sb (0.000, 0.000, 0.000)
Sb (0.750, 0.250, 0.500)
S (0.250, 0.750, 0.500)
S (0.500, 0.500, 0.000)
N (0.107, 0.625, 0.982)
N (0.375, 0.357, 0.482)
N (0.643, 0.125, 0.018)
N (0.875, 0.893, 0.518)


No. 6
## Sb2SN2 (PBE)

Data for Sb2SN2 after structural relaxation.

The formation energy (no corrections) comes out at 0.198 eV/atom.

a = 3.444 Å, b = 3.497 Å, c = 12.523 Å
α = 89.74°, β = 89.61°, γ = 60.52°
Atoms (fractional coordinates):
Sb (0.170, 0.156, 0.155)
Sb (0.830, 0.844, 0.845)
S (0.500, 0.500, 0.000)
N (0.489, 0.494, 0.544)
N (0.511, 0.506, 0.456)


Number 1: M_tot 4.001 Bohr magnetons per cell, total energy -4.42 eV/atom. Number 2: M_tot 0.000 Bohr magnetons per cell, total energy -4.79 eV/atom. Number 3: M_tot 0.000 Bohr magnetons per cell, total energy -4.99 eV/atom. Number 4: M_tot 0.000 Bohr magnetons per cell, total energy -4.61 eV/atom. Number 5: M_tot 0.000 Bohr magnetons per cell, total energy -4.86 eV/atom. Number 6: M_tot 0.000 Bohr magnetons per cell, total energy -5.61 eV/atom.